Entry 1:
DFT (GGA-PBEsol) results for an optimized crystal structure of MnFeAu2.

Cell lengths 8.962, 8.962, 8.962 Å; angles 17.96, 17.96, 17.96 degrees
Positions (direct):
Mn (0.000, 0.000, 0.000)
Fe (0.500, 0.500, 0.500)
Au (0.249, 0.249, 0.249)
Au (0.751, 0.751, 0.751)

Properties
symmetry = R-3m, No. 166
energy relative to the elements = 0.284 eV per atom

=====

Entry 2:
DFT (GGA-PBEsol) results for an optimized crystal structure of LiAgBr2.

Cell lengths 3.959, 3.959, 5.605 Å; angles 90.00, 90.00, 90.00 degrees
Positions (direct):
Li (0.000, 0.000, 0.000)
Ag (0.500, 0.500, 0.500)
Br (0.000, 0.000, 0.499)
Br (0.500, 0.500, 0.000)

Properties
symmetry = P4mm, No. 99
energy above the lowest structure with this stoichiometry = 3.9 meV/atom
energy relative to the elements, uncorrected = -0.89 eV per atom

=====

Entry 3:
DFT (GGA-PBEsol) results for an optimized crystal structure of Be3Si4.

Cell lengths 8.559, 8.559, 8.559 Å; angles 158.70, 158.70, 30.31 degrees
Positions (direct):
Be (0.000, 0.000, 0.000)
Be (0.285, 0.285, 0.000)
Be (0.715, 0.715, 0.000)
Si (0.148, 0.148, 0.000)
Si (0.426, 0.426, 0.000)
Si (0.574, 0.574, 0.000)
Si (0.852, 0.852, 0.000)

Properties
symmetry = I4/mmm, No. 139
energy relative to the elements, uncorrected = 0.36 eV per atom

=====

Entry 4:
DFT (GGA-PBEsol) results for an optimized crystal structure of SiNiSb4.

Cell lengths 5.977, 5.977, 5.977 Å; angles 60.00, 60.00, 60.00 degrees
Positions (direct):
Si (0.000, 0.000, 0.000)
Ni (0.250, 0.250, 0.250)
Sb (0.125, 0.625, 0.625)
Sb (0.625, 0.125, 0.625)
Sb (0.625, 0.625, 0.125)
Sb (0.625, 0.625, 0.625)

Properties
symmetry = F-43m, No. 216
energy relative to the elements, uncorrected = 0.95 eV per atom

=====

Entry 5:
DFT (GGA-PBEsol) results for an optimized crystal structure of MnBe4Br.

Cell lengths 4.392, 4.392, 4.392 Å; angles 60.00, 60.00, 60.00 degrees
Positions (direct):
Mn (0.000, 0.000, 0.000)
Be (0.115, 0.628, 0.628)
Be (0.628, 0.115, 0.628)
Be (0.628, 0.628, 0.115)
Be (0.628, 0.628, 0.628)
Br (0.250, 0.250, 0.250)

Properties
symmetry = F-43m, No. 216
energy relative to the elements, uncorrected = 0.51 eV per atom

=====

Entry 6:
DFT (GGA-PBEsol) results for an optimized crystal structure of AlZnFe2.

Cell lengths 2.580, 3.651, 5.129 Å; angles 90.00, 90.16, 90.00 degrees
Positions (direct):
Al (0.000, 0.000, 0.000)
Zn (0.000, 0.000, 0.500)
Fe (0.500, 0.500, 0.247)
Fe (0.500, 0.500, 0.753)

Properties
symmetry = P2/m, No. 10
energy relative to the elements = -0.108 eV per atom

=====

Entry 7:
DFT (GGA-PBEsol) results for an optimized crystal structure of TeMo2S.

Cell lengths 4.466, 4.466, 4.466 Å; angles 60.00, 60.00, 60.00 degrees
Positions (direct):
Te (0.000, 0.000, 0.000)
Mo (0.250, 0.250, 0.250)
Mo (0.750, 0.750, 0.750)
S (0.500, 0.500, 0.500)

Properties
symmetry = Fm-3m, No. 225
energy relative to the elements, uncorrected = 0.14 eV per atom

=====

Entry 8:
DFT (GGA-PBEsol) results for an optimized crystal structure of CoSb2W.

Cell lengths 3.295, 3.298, 6.204 Å; angles 90.00, 92.82, 90.00 degrees
Positions (direct):
Co (0.000, 0.000, 0.000)
Sb (0.477, 0.500, 0.243)
Sb (0.523, 0.500, 0.757)
W (0.000, 0.000, 0.500)

Properties
symmetry = P2/m, No. 10
energy above the lowest structure with this stoichiometry = 215.5 meV/atom
energy relative to the elements, uncorrected = 0.44 eV per atom

=====

Entry 9:
DFT (GGA-PBEsol) results for an optimized crystal structure of ReHgPCl2.

Cell lengths 4.958, 4.958, 5.148 Å; angles 90.00, 90.00, 90.00 degrees
Positions (direct):
Re (0.000, 0.000, 0.000)
Hg (0.500, 0.500, 0.500)
P (0.500, 0.500, 0.000)
Cl (0.000, 0.500, 0.500)
Cl (0.500, 0.000, 0.500)

Properties
symmetry = P4/mmm, No. 123
energy relative to the elements, uncorrected = 1.52 eV per atom

=====

Entry 10:
DFT (GGA-PBEsol) results for an optimized crystal structure of RbNi2Sb2.

Cell lengths 7.135, 7.135, 7.135 Å; angles 144.81, 144.81, 50.61 degrees
Positions (direct):
Rb (0.000, 0.000, 0.000)
Ni (0.250, 0.750, 0.500)
Ni (0.750, 0.250, 0.500)
Sb (0.344, 0.344, 0.000)
Sb (0.656, 0.656, 0.000)

Properties
symmetry = I4/mmm, No. 139
energy relative to the elements, uncorrected = -0.21 eV per atom

=====

Entry 11:
DFT (GGA-PBEsol) results for an optimized crystal structure of TlSeBr.

Cell lengths 5.226, 5.226, 5.226 Å; angles 60.00, 60.00, 60.00 degrees
Positions (direct):
Tl (0.000, 0.000, 0.000)
Se (0.500, 0.500, 0.500)
Br (0.250, 0.250, 0.250)

Properties
symmetry = F-43m, No. 216
energy relative to the elements, uncorrected = 0.28 eV per atom

=====

Entry 12:
DFT (GGA-PBEsol) results for an optimized crystal structure of MnAu2Br.

Cell lengths 3.227, 3.227, 7.251 Å; angles 90.00, 90.00, 90.00 degrees
Positions (direct):
Mn (0.000, 0.000, 0.000)
Au (0.000, 0.000, 0.427)
Au (0.500, 0.500, 0.207)
Br (0.500, 0.500, 0.772)

Properties
symmetry = P4mm, No. 99
energy above the lowest structure with this stoichiometry = 0.0 meV/atom
energy relative to the elements, uncorrected = 0.15 eV per atom

=====

Entry 13:
DFT (GGA-PBEsol) results for an optimized crystal structure of Be2GaTeAs.

Cell lengths 4.269, 4.269, 5.632 Å; angles 90.00, 90.00, 90.00 degrees
Positions (direct):
Be (0.000, 0.500, 0.000)
Be (0.500, 0.000, 0.000)
Ga (0.000, 0.000, 0.500)
Te (0.500, 0.500, 0.500)
As (0.500, 0.500, 0.000)

Properties
symmetry = P4/mmm, No. 123
energy relative to the elements, uncorrected = 0.65 eV per atom

=====

Entry 14:
DFT (GGA-PBEsol) results for an optimized crystal structure of InHC2I.

Cell lengths 4.331, 4.331, 3.695 Å; angles 90.00, 90.00, 90.00 degrees
Positions (direct):
In (0.000, 0.000, 0.000)
H (0.500, 0.500, 0.500)
C (0.000, 0.500, 0.500)
C (0.500, 0.000, 0.500)
I (0.500, 0.500, 0.000)

Properties
symmetry = P4/mmm, No. 123
final energy = -2.974 eV per atom

=====

Entry 15:
DFT (GGA-PBEsol) results for an optimized crystal structure of MgAu2.

Cell lengths 10.247, 10.247, 10.247 Å; angles 161.24, 161.24, 26.65 degrees
Positions (direct):
Mg (0.375, 0.625, 0.750)
Mg (0.625, 0.375, 0.250)
Au (0.054, 0.804, 0.250)
Au (0.196, 0.946, 0.250)
Au (0.804, 0.054, 0.750)
Au (0.946, 0.196, 0.750)

Properties
symmetry = I4_1/amd, No. 141
energy relative to the elements = -0.339 eV per atom

=====

Entry 16:
DFT (GGA-PBEsol) results for an optimized crystal structure of ThB4W.

Cell lengths 6.092, 6.092, 3.720 Å; angles 90.00, 90.00, 104.19 degrees
Positions (direct):
Th (0.198, 0.802, 0.000)
Th (0.802, 0.198, 0.000)
B (0.122, 0.435, 0.500)
B (0.128, 0.128, 0.500)
B (0.410, 0.590, 0.500)
B (0.435, 0.122, 0.500)
B (0.565, 0.878, 0.500)
B (0.590, 0.410, 0.500)
B (0.872, 0.872, 0.500)
B (0.878, 0.565, 0.500)
W (0.328, 0.328, 0.000)
W (0.672, 0.672, 0.000)

Properties
symmetry = Cmmm, No. 65
energy relative to the elements = -0.597 eV per atom

=====

Entry 17:
DFT (GGA-PBEsol) results for an optimized crystal structure of SrLaNi2.

Cell lengths 3.420, 3.420, 7.992 Å; angles 90.00, 90.00, 90.00 degrees
Positions (direct):
Sr (0.000, 0.000, 0.000)
La (0.500, 0.500, 0.442)
Ni (0.000, 0.000, 0.646)
Ni (0.500, 0.500, 0.746)

Properties
symmetry = P4mm, No. 99
energy relative to the elements = 0.118 eV per atom
energy above the lowest structure with this stoichiometry = 235.0 meV/atom

=====

Entry 18:
DFT (GGA-PBEsol) results for an optimized crystal structure of PbBrF.

Cell lengths 4.143, 4.143, 7.535 Å; angles 90.00, 90.00, 90.00 degrees
Positions (direct):
Pb (0.250, 0.250, 0.195)
Pb (0.750, 0.750, 0.805)
Br (0.250, 0.250, 0.647)
Br (0.750, 0.750, 0.353)
F (0.250, 0.750, 0.000)
F (0.750, 0.250, 0.000)

Properties
symmetry = P4/nmm, No. 129
energy relative to the elements, uncorrected = -1.66 eV per atom

=====

Entry 19:
DFT (GGA-PBEsol) results for an optimized crystal structure of SrLi2Ca2.

Cell lengths 9.230, 9.230, 4.119 Å; angles 90.00, 90.00, 90.00 degrees
Positions (direct):
Sr (0.000, 0.000, 0.000)
Sr (0.500, 0.500, 0.000)
Li (0.128, 0.372, 0.000)
Li (0.372, 0.872, 0.000)
Li (0.628, 0.128, 0.000)
Li (0.872, 0.628, 0.000)
Ca (0.161, 0.661, 0.500)
Ca (0.339, 0.161, 0.500)
Ca (0.661, 0.839, 0.500)
Ca (0.839, 0.339, 0.500)

Properties
symmetry = P4/mbm, No. 127
energy relative to the elements = 0.020 eV per atom
energy above the lowest structure with this stoichiometry = 0.0 meV/atom

=====

Entry 20:
DFT (GGA-PBEsol) results for an optimized crystal structure of MgAlAg2.

Cell lengths 3.190, 3.190, 6.577 Å; angles 90.00, 90.00, 90.00 degrees
Positions (direct):
Mg (0.000, 0.000, 0.000)
Al (0.000, 0.000, 0.500)
Ag (0.500, 0.500, 0.267)
Ag (0.500, 0.500, 0.733)

Properties
symmetry = P4/mmm, No. 123
energy relative to the elements = -0.172 eV per atom
energy above the lowest structure with this stoichiometry = 30.3 meV/atom